[1]
An optimized crystal structure of Hf2ZrReN, computed with PBE.

Output
DOS at the Fermi energy	4.8	states/eV per cell
total energy	-7.233	eV per atom
SG	P4/mmm, No. 123

Cell: 5.137 5.137 4.639 Å, 90.00 90.00 90.00°
Fractional positions:
Hf: 0.000 0.500 0.000
Hf: 0.500 0.000 0.000
Zr: 0.000 0.000 0.000
Re: 0.000 0.000 0.500
N: 0.500 0.500 0.500

[2]
An optimized crystal structure of HfRhN, computed with PBE.

Output
DOS at the Fermi energy	4.1	states/eV per cell
total energy	-9.667	eV per atom
SG	P4/nmm, No. 129

Cell: 3.129 3.129 7.958 Å, 90.00 90.00 90.00°
Fractional positions:
Hf: 0.250 0.250 0.160
Hf: 0.750 0.750 0.840
Rh: 0.250 0.250 0.609
Rh: 0.750 0.750 0.391
N: 0.250 0.250 0.878
N: 0.750 0.750 0.122

[3]
An optimized crystal structure of Hf12Rh6N, computed with PBE.

Output
DOS at the Fermi energy	16.1	states/eV per cell
total energy	-9.548	eV per atom
SG	R-3, No. 148

Cell: 7.381 7.381 7.381 Å, 99.84 99.84 99.84°
Fractional positions:
Hf: 0.003 0.693 0.926
Hf: 0.074 0.997 0.307
Hf: 0.185 0.415 0.553
Hf: 0.307 0.074 0.997
Hf: 0.415 0.553 0.185
Hf: 0.447 0.815 0.585
Hf: 0.553 0.185 0.415
Hf: 0.585 0.447 0.815
Hf: 0.693 0.926 0.003
Hf: 0.815 0.585 0.447
Hf: 0.926 0.003 0.693
Hf: 0.997 0.307 0.074
Rh: 0.124 0.648 0.306
Rh: 0.306 0.124 0.648
Rh: 0.352 0.694 0.876
Rh: 0.648 0.306 0.124
Rh: 0.694 0.876 0.352
Rh: 0.876 0.352 0.694
N: 0.000 0.000 0.000

[4]
An optimized crystal structure of Hf2RhN, computed with PBE.

Output
DOS at the Fermi energy	0.3	states/eV per cell
total energy	-9.770	eV per atom
SG	I-42d, No. 122

Cell: 5.738 5.738 5.738 Å, 116.34 116.34 96.47°
Fractional positions:
Hf: 0.056 0.625 0.931
Hf: 0.375 0.306 0.431
Hf: 0.694 0.125 0.069
Hf: 0.875 0.944 0.569
Rh: 0.250 0.750 0.500
Rh: 0.500 0.500 0.000
N: 0.000 0.000 0.000
N: 0.750 0.250 0.500

[5]
An optimized crystal structure of HfRhN2, computed with PBE.

Output
DOS at the Fermi energy	2.9	states/eV per cell
total energy	-8.552	eV per atom
SG	Fm-3m, No. 225

Cell: 3.927 3.927 3.927 Å, 60.00 60.00 60.00°
Fractional positions:
Hf: 0.000 0.000 0.000
Rh: 0.500 0.500 0.500
N: 0.250 0.250 0.250
N: 0.750 0.750 0.750

[6]
An optimized crystal structure of Hf6RhN, computed with PBE.

Output
DOS at the Fermi energy	5.1	states/eV per cell
total energy	-10.059	eV per atom
SG	P-1, No. 2

Cell: 5.051 5.671 5.831 Å, 97.35 113.71 91.55°
Fractional positions:
Hf: 0.060 0.294 0.158
Hf: 0.235 0.828 0.480
Hf: 0.393 0.366 0.755
Hf: 0.607 0.634 0.245
Hf: 0.765 0.172 0.520
Hf: 0.940 0.706 0.842
Rh: 0.500 0.000 0.000
N: 0.000 0.500 0.500

[7]
An optimized crystal structure of Hf4RhN2, computed with PBE.

Output
DOS at the Fermi energy	6.4	states/eV per cell
total energy	-10.425	eV per atom
SG	Cmcm, No. 63

Cell: 5.762 5.762 11.695 Å, 90.00 90.00 146.93°
Fractional positions:
Hf: 0.000 0.000 0.000
Hf: 0.000 0.000 0.500
Hf: 0.267 0.733 0.609
Hf: 0.267 0.733 0.891
Hf: 0.425 0.575 0.250
Hf: 0.575 0.425 0.750
Hf: 0.733 0.267 0.109
Hf: 0.733 0.267 0.391
Rh: 0.109 0.891 0.250
Rh: 0.891 0.109 0.750
N: 0.366 0.634 0.059
N: 0.366 0.634 0.441
N: 0.634 0.366 0.559
N: 0.634 0.366 0.941

[8]
An optimized crystal structure of HfRhN2, computed with PBE.

Output
DOS at the Fermi energy	4.0	states/eV per cell
total energy	-8.969	eV per atom
SG	R-3m, No. 166

Cell: 6.331 6.331 6.331 Å, 29.77 29.77 29.77°
Fractional positions:
Hf: 0.000 0.000 0.000
Rh: 0.500 0.500 0.500
N: 0.393 0.393 0.393
N: 0.607 0.607 0.607

Summary of ΔE_f (raw) in eV per atom
2.61; -1.12; -0.50; -0.87; -0.06; -0.63; -1.31; -0.48
(order as listed above)